Below is a relaxed structure of SrSiNiPt6, with properties calculated at the PBE level.

- D(E_F): 13.48 states/eV per cell
- ΔE_f (raw): -1.49 eV/f.u.

POSCAR file:
```
SrSiNiPt6
1.0
-0.0490 5.4790 -4.9988
0.3044 -5.7435 -6.2981
-5.8036 -0.0321 5.5240
Pt Si Sr Ni
12 2 2 2
direct
0.8700 0.6422 0.2498
0.8700 0.1076 0.2498
0.1157 0.8657 0.2313
0.6202 0.8924 0.7502
0.8843 0.1343 0.7687
0.1300 0.3578 0.7502
0.4087 0.6587 0.8173
0.1300 0.8924 0.7502
0.6202 0.3578 0.7502
0.5913 0.3413 0.1827
0.3798 0.6422 0.2498
0.3798 0.1076 0.2498
0.5000 0.0000 0.0000
0.5000 0.5000 0.0000
0.1492 0.3992 0.2985
0.8508 0.6008 0.7015
0.0000 0.0000 0.5000
0.5000 0.0000 0.5000
```

---

Below is a relaxed structure of Mg6Pd12Au, with properties calculated at the PBE level.

- D(E_F): 8.84 states/eV per cell

POSCAR file:
```
Mg6Pd12Au
1.0
7.2531 -0.5778 -0.6922
-1.6707 7.0816 -0.6922
-1.6707 -1.9465 6.8440
Pd Mg Au
12 6 1
direct
0.4015 0.8133 0.5095
0.8778 0.7217 0.1688
0.8312 0.1222 0.2783
0.1688 0.8778 0.7217
0.7217 0.1688 0.8778
0.5095 0.4015 0.8133
0.4905 0.5985 0.1867
0.1867 0.4905 0.5985
0.2783 0.8312 0.1222
0.5985 0.1867 0.4905
0.1222 0.2783 0.8312
0.8133 0.5095 0.4015
0.5461 0.7968 0.9110
0.0890 0.4539 0.2032
0.9110 0.5461 0.7968
0.4539 0.2032 0.0890
0.7968 0.9110 0.5461
0.2032 0.0890 0.4539
0.0000 0.0000 0.0000
```

---

Below is a relaxed structure of Tl3PdSe, with properties calculated at the PBE level.

- D(E_F): 3.45 states/eV per cell
- Distance to the lowest polymorph of the same formula: 0.658 eV per atom
- ΔE_f (raw): 2.66 eV/f.u.

POSCAR file:
```
Tl3PdSe
1.0
-4.6087 1.6107 -3.0537
-3.4521 -2.2237 4.0371
-0.0500 5.0617 2.7453
Tl Pd Se
3 1 1
direct
0.5000 0.0000 0.0000
0.0000 0.5000 0.0000
0.0000 0.0000 0.5000
0.5000 0.5000 0.5000
0.0000 0.0000 0.0000
```

---

Below is a relaxed structure of MnNb2W, with properties calculated at the PBE level.

- D(E_F): 3.97 states/eV per cell

POSCAR file:
```
MnNb2W
1.0
-1.4451 1.7547 2.0092
-1.1010 -1.2097 2.5551
6.2828 1.7084 5.3174
Nb Mn W
2 1 1
direct
0.7449 0.7449 0.7652
0.2551 0.2551 0.2348
0.0000 0.0000 0.0000
0.5000 0.5000 0.5000
```

---

Below is a relaxed structure of DyErAlHg, with properties calculated at the PBE level.

- D(E_F): 4.40 states/eV per cell
- Distance to the lowest polymorph of the same formula: 0.034 eV per atom

POSCAR file:
```
DyErAlHg
1.0
5.1827 0.0000 0.0000
2.5914 4.4884 0.0000
2.5914 1.4961 4.2317
Dy Hg Er Al
1 1 1 1
direct
0.5000 0.5000 0.5000
0.7500 0.7500 0.7500
0.0000 0.0000 0.0000
0.2500 0.2500 0.2500
```

---

Below is a relaxed structure of RbReCl2, with properties calculated at the PBE level.

- D(E_F): 2.52 states/eV per cell
- Distance to the lowest polymorph of the same formula: 0.099 eV per atom
- ΔE_f (raw): 0.72 eV/f.u.

POSCAR file:
```
RbReCl2
1.0
-0.7402 -3.0995 -5.1069
5.5852 1.4666 -1.6997
4.7365 -6.2181 -0.4603
Cl Re Rb
4 2 2
direct
0.8750 0.0083 0.7500
0.7583 0.1250 0.2500
0.3750 0.2417 0.7500
0.9917 0.6250 0.2500
0.0000 0.0000 0.0000
0.7500 0.2500 0.5000
0.2500 0.7500 0.5000
0.5000 0.5000 0.0000
```

---

Below is a relaxed structure of ScBi2TeRu, with properties calculated at the PBE level.

- D(E_F): 3.75 states/eV per cell
- ΔE_f (raw): 3.56 eV/f.u.

POSCAR file:
```
ScBi2TeRu
1.0
5.6725 0.0000 0.0000
0.0000 4.6787 0.0000
0.0000 0.0000 5.6725
Te Sc Ru Bi
1 1 1 2
direct
0.5000 0.5000 0.5000
0.0000 0.0000 0.0000
0.0000 0.5000 0.0000
0.5000 0.0000 0.0000
0.0000 0.0000 0.5000
```

---

Below is a relaxed structure of Tb2TiGe2Rh5, with properties calculated at the PBE level.

- D(E_F): 6.62 states/eV per cell

POSCAR file:
```
Tb2TiGe2Rh5
1.0
3.5942 0.0000 0.0000
0.0000 9.7710 0.0000
0.0000 0.0000 9.7710
Ge Rh Tb Ti
4 10 4 2
direct
0.0000 0.1257 0.6257
0.0000 0.8743 0.3743
0.0000 0.3743 0.1257
0.0000 0.6257 0.8743
0.5000 0.2955 0.5655
0.5000 0.7955 0.9345
0.5000 0.9345 0.2045
0.5000 0.5000 0.0000
0.5000 0.0000 0.5000
0.5000 0.7045 0.4345
0.5000 0.5655 0.7045
0.5000 0.0655 0.7955
0.5000 0.2045 0.0655
0.5000 0.4345 0.2955
0.0000 0.6730 0.1730
0.0000 0.3270 0.8270
0.0000 0.8270 0.6730
0.0000 0.1730 0.3270
0.0000 0.5000 0.5000
0.0000 0.0000 0.0000
```

---

Below is a relaxed structure of Be4Te3, with properties calculated at the PBE level.

- D(E_F): 0.51 states/eV per cell
- Distance to the lowest polymorph of the same formula: 0.121 eV per atom
- ΔE_f (raw): 2.18 eV/f.u.

POSCAR file:
```
Be4Te3
1.0
-1.8714 1.8714 10.3684
1.8714 -1.8714 10.3684
1.8714 1.8714 -10.3684
Be Te
4 3
direct
0.4529 0.4529 0.0000
0.5471 0.5471 0.0000
0.1310 0.1310 0.0000
0.8690 0.8690 0.0000
0.6586 0.6586 0.0000
0.3414 0.3414 0.0000
0.0000 0.0000 0.0000
```

---

Below is a relaxed structure of KMo3Ru, with properties calculated at the PBE level.

- D(E_F): 7.24 states/eV per cell
- Distance to the lowest polymorph of the same formula: 1.440 eV per atom

POSCAR file:
```
KMo3Ru
1.0
4.4195 0.0000 0.0000
0.0000 4.4195 0.0000
0.0000 0.0000 4.4195
Mo Ru K
3 1 1
direct
0.0000 0.5000 0.0000
0.0000 0.0000 0.5000
0.5000 0.0000 0.0000
0.5000 0.5000 0.5000
0.0000 0.0000 0.0000
```

---

Below is a relaxed structure of Ga7Ir2Rh2, with properties calculated at the PBE level.

- D(E_F): 3.22 states/eV per cell

POSCAR file:
```
Ga7Ir2Rh2
1.0
-2.8161 -3.6840 -3.0406
1.1916 -4.4559 4.2948
-4.1920 1.8749 3.1079
Rh Ga Ir
2 7 2
direct
0.1884 0.5000 0.1884
0.8116 0.5000 0.8116
0.5000 0.7109 0.5000
0.5000 0.2891 0.5000
0.0000 0.2775 0.5000
0.0000 0.7225 0.5000
0.0000 0.0000 0.0000
0.5000 0.2775 0.0000
0.5000 0.7225 0.0000
0.7122 0.0000 0.2878
0.2878 0.0000 0.7122
```

---

Below is a relaxed structure of Mg4IrRh5, with properties calculated at the PBE level.

- D(E_F): 10.22 states/eV per cell

POSCAR file:
```
Mg4IrRh5
1.0
3.0555 0.0000 0.0000
0.0000 3.0555 0.0000
0.0000 0.0000 16.0343
Rh Ir Mg
5 1 4
direct
0.5000 0.5000 0.5000
0.5000 0.5000 0.6969
0.5000 0.5000 0.3031
0.5000 0.5000 0.1008
0.5000 0.5000 0.8992
0.0000 0.0000 0.0000
0.0000 0.0000 0.4016
0.0000 0.0000 0.5984
0.0000 0.0000 0.2058
0.0000 0.0000 0.7942
```

---

| no. | energy (eV/atom) |
| --- | --- |
| 1 | -5.62 |
| 2 | -4.41 |
| 3 | -2.62 |
| 4 | -10.22 |
| 5 | -3.70 |
| 6 | -4.10 |
| 7 | -4.59 |
| 8 | -7.12 |
| 9 | -3.16 |
| 10 | -5.42 |
| 11 | -5.17 |
| 12 | -5.50 |